Material: K4LiNp3S8
Method: DFT, GGA-PBE
State: optimized geometry

Unit cell a=8.1203 b=8.6719 c=8.1207 alpha=117.93 beta=120.00 gamma=90.00
Last column: magnetic moment on the atom in μB.
Sites, in units of the cell vectors:
1 S 0.2377 0.6957 0.9581  -0.09
2 S 0.2662 0.2986 0.5323  -0.09
3 S 0.2378 0.6959 0.4755  -0.09
4 S 0.7622 0.3041 0.5245  -0.09
5 S 0.2796 0.3043 0.0419  -0.09
6 Np 0.0000 0.5000 0.5000  3.51
7 K 0.5000 0.0000 0.0000  0.00
8 S 0.7623 0.3043 0.0419  -0.09
9 S 0.7338 0.7014 0.4677  -0.09
10 Np 0.5000 0.5000 0.0000  3.51
11 Np 0.5000 0.5000 0.5000  3.51
12 K 0.5000 0.0000 0.5000  0.00
13 K 0.0000 0.0000 0.0000  0.00
14 S 0.7204 0.6957 0.9581  -0.09
15 K 0.0000 0.0000 0.5000  0.00
16 Li 0.0000 0.5000 0.0000  0.00

magnetic moment	10.00	Bohr magnetons per cell
total energy	-99.996	eV per cell


Material: K3LiNp3Se8
Method: DFT, GGA-PBE
State: optimized geometry

Unit cell a=8.3258 b=8.3292 c=9.0814 alpha=117.32 beta=90.00 gamma=119.99
Last column: magnetic moment on the atom in μB.
Sites, in units of the cell vectors:
1 Se 0.2380 0.4760 0.6959  -0.14
2 K 0.0000 0.5000 0.0000  0.00
3 Li 0.0000 0.0000 0.5000  -0.01
4 Se 0.7355 0.4710 0.7064  -0.09
5 Np 0.5000 0.0000 0.5000  3.40
6 Se 0.2797 0.0420 0.3042  -0.14
7 Se 0.2378 0.9580 0.6957  -0.14
8 Np 0.0000 0.5000 0.5000  3.40
9 Se 0.7620 0.5240 0.3041  -0.14
10 Se 0.2645 0.5290 0.2936  -0.09
11 Se 0.7203 0.9580 0.6958  -0.14
12 K 0.5000 0.5000 0.0000  0.00
13 Se 0.7622 0.0420 0.3043  -0.14
14 K 0.0000 0.0000 0.0000  0.00
15 Np 0.5000 0.5000 0.5000  3.40

magnetic moment	9.00	Bohr magnetons per cell
total energy	-89.661	eV per cell


Material: K2LiNp2Se6
Method: DFT, GGA-PBE
State: optimized geometry

Unit cell a=7.1581 b=7.1581 c=8.0878 alpha=97.94 beta=97.94 gamma=120.40
Last column: magnetic moment on the atom in μB.
Sites, in units of the cell vectors:
1 Se 0.7157 0.7157 0.6961  -0.14
2 K 0.8391 0.1609 0.0000  0.00
3 K 0.1609 0.8391 0.0000  0.00
4 Se 0.0605 0.4090 0.6957  -0.14
5 Se 0.5910 0.9395 0.3043  -0.14
6 Se 0.9395 0.5910 0.3043  -0.14
7 Li 0.0000 0.0000 0.5000  0.00
8 Se 0.4090 0.0605 0.6957  -0.14
9 Np 0.3342 0.6658 0.5000  3.06
10 Np 0.6658 0.3342 0.5000  3.06
11 Se 0.2843 0.2843 0.3039  -0.14

magnetic moment	5.00	Bohr magnetons per cell
total energy	-63.642	eV per cell


Material: K2LiNpSe4
Method: DFT, GGA-PBE
State: optimized geometry

Unit cell a=4.2381 b=7.9204 c=7.0939 alpha=72.52 beta=90.00 gamma=90.00
Last column: magnetic moment on the atom in μB.
Sites, in units of the cell vectors:
1 Li 0.5000 0.5000 0.0000  0.00
2 Se 0.0000 0.6955 0.7496  -0.15
3 K 0.5000 0.0000 0.5000  0.00
4 Se 0.5000 0.3015 0.7256  -0.12
5 Np 0.0000 0.5000 0.5000  2.82
6 K 0.0000 0.0000 0.0000  -0.01
7 Se 0.5000 0.6985 0.2744  -0.12
8 Se 0.0000 0.3045 0.2504  -0.15

magnetic moment	2.00	Bohr magnetons per cell
total energy	-40.085	eV per cell


Material: K4LiNp3Se8
Method: DFT, GGA-PBE
State: optimized geometry

Unit cell a=8.4705 b=9.0377 c=8.4711 alpha=117.95 beta=120.00 gamma=90.00
Last column: magnetic moment on the atom in μB.
Sites, in units of the cell vectors:
1 Se 0.7243 0.6991 0.9617  -0.10
2 Np 0.5000 0.5000 0.5000  3.59
3 Se 0.2647 0.2941 0.5294  -0.09
4 K 0.0000 0.0000 0.5000  0.00
5 Se 0.2375 0.6992 0.4750  -0.10
6 K 0.0000 0.0000 0.0000  0.00
7 Se 0.7626 0.3009 0.0383  -0.10
8 Np 0.5000 0.5000 0.0000  3.59
9 Se 0.2374 0.6991 0.9617  -0.10
10 Li 0.0000 0.5000 0.0000  0.00
11 K 0.5000 0.0000 0.0000  0.00
12 Se 0.7625 0.3008 0.5250  -0.10
13 Np 0.0000 0.5000 0.5000  3.59
14 Se 0.2757 0.3009 0.0383  -0.10
15 K 0.5000 0.0000 0.5000  0.00
16 Se 0.7353 0.7059 0.4706  -0.09

magnetic moment	10.00	Bohr magnetons per cell
total energy	-92.848	eV per cell


Material: KLi3Np2Se6
Method: DFT, GGA-PBE
State: optimized geometry

Unit cell a=4.1469 b=9.4655 c=8.6031 alpha=99.32 beta=103.95 gamma=90.00
Last column: magnetic moment on the atom in μB.
Sites, in units of the cell vectors:
1 Se 0.6933 0.1541 0.3865  -0.12
2 K 0.5000 0.0000 0.0000  0.00
3 Li 0.1536 0.7281 0.3072  -0.01
4 Se 0.3367 0.4487 0.6735  -0.11
5 Li 0.5000 0.5000 0.0000  0.00
6 Se 0.0019 0.2821 0.0039  -0.12
7 Se 0.9981 0.7179 0.9961  -0.12
8 Np 0.1655 0.3375 0.3311  3.39
9 Li 0.8464 0.2719 0.6928  -0.01
10 Se 0.3067 0.8459 0.6135  -0.12
11 Np 0.8345 0.6625 0.6689  3.39
12 Se 0.6633 0.5513 0.3265  -0.11

magnetic moment	6.00	Bohr magnetons per cell
total energy	-67.462	eV per cell


Material: K3LiNp2Se6
Method: DFT, GGA-PBE
State: optimized geometry

Unit cell a=7.2944 b=7.2944 c=7.9767 alpha=98.72 beta=98.72 gamma=120.00
Last column: magnetic moment on the atom in μB.
Sites, in units of the cell vectors:
1 Se 0.2785 0.2785 0.8003  -0.11
2 K 0.5000 0.5000 0.5000  0.00
3 K 0.1614 0.8386 0.5000  0.00
4 Li 0.0000 0.0000 0.0000  0.00
5 Se 0.5867 0.9328 0.7984  -0.11
6 Se 0.4133 0.0672 0.2016  -0.11
7 Se 0.7215 0.7215 0.1997  -0.11
8 Np 0.3329 0.6671 0.0000  3.39
9 Se 0.0672 0.4133 0.2016  -0.11
10 Se 0.9328 0.5867 0.7984  -0.11
11 K 0.8386 0.1614 0.5000  0.00
12 Np 0.6671 0.3329 0.0000  3.39

magnetic moment	6.00	Bohr magnetons per cell
total energy	-66.842	eV per cell


Material: KLiNpSe3
Method: DFT, GGA-PBE
State: optimized geometry

Unit cell a=4.2317 b=9.0628 c=9.4715 alpha=106.71 beta=90.00 gamma=90.00
Last column: magnetic moment on the atom in μB.
Sites, in units of the cell vectors:
1 Li 0.7500 0.9197 0.4054  0.00
2 Se 0.7500 0.2105 0.5426  -0.09
3 Np 0.2500 0.6779 0.1543  3.38
4 K 0.2500 0.2065 0.2529  0.00
5 Np 0.7500 0.3221 0.8457  3.38
6 K 0.7500 0.7935 0.7471  0.00
7 Se 0.2500 0.1248 0.8718  -0.11
8 Se 0.7500 0.8752 0.1282  -0.11
9 Se 0.2500 0.5350 0.8425  -0.13
10 Se 0.2500 0.7895 0.4574  -0.09
11 Se 0.7500 0.4650 0.1575  -0.13
12 Li 0.2500 0.0803 0.5946  0.00

magnetic moment	6.00	Bohr magnetons per cell
total energy	-67.486	eV per cell


Material: K3LiNp3Te8
Method: DFT, GGA-PBE
State: optimized geometry

Unit cell a=8.9375 b=8.9185 c=9.7341 alpha=117.26 beta=90.03 gamma=119.92
Last column: magnetic moment on the atom in μB.
Sites, in units of the cell vectors:
1 Te 0.2793 0.0386 0.2978  -0.15
2 Te 0.7620 0.0363 0.2986  -0.03
3 K 0.5000 0.5000 0.0000  0.00
4 Li 0.0000 0.0000 0.5000  0.00
5 Te 0.2382 0.4760 0.7016  -0.03
6 Np 0.5000 0.0000 0.5000  3.57
7 K 0.0000 0.0000 0.0000  -0.01
8 Te 0.2638 0.5263 0.2886  -0.04
9 Te 0.2380 0.9637 0.7014  -0.03
10 Np 0.0000 0.5000 0.5000  -3.55
11 Te 0.7618 0.5240 0.2984  -0.03
12 Np 0.5000 0.5000 0.5000  3.57
13 Te 0.7362 0.4737 0.7114  -0.04
14 K 0.0000 0.5000 0.0000  -0.01
15 Te 0.7207 0.9614 0.7022  -0.15

magnetic moment	2.85	Bohr magnetons per cell
total energy	-80.884	eV per cell


Material: K3LiNp2Te6
Method: DFT, GGA-PBE
State: optimized geometry

Unit cell a=7.8119 b=7.8119 c=8.5406 alpha=98.74 beta=98.74 gamma=120.00
Last column: magnetic moment on the atom in μB.
Sites, in units of the cell vectors:
1 Np 0.3330 0.6670 0.0000  3.56
2 K 0.5000 0.5000 0.5000  -0.01
3 Li 0.0000 0.0000 0.0000  0.00
4 K 0.8371 0.1629 0.5000  -0.01
5 Te 0.2737 0.2737 0.7970  -0.12
6 Te 0.9318 0.5899 0.7957  -0.13
7 Te 0.7263 0.7263 0.2030  -0.12
8 Te 0.4101 0.0682 0.2043  -0.13
9 Te 0.0682 0.4101 0.2043  -0.13
10 K 0.1629 0.8371 0.5000  -0.01
11 Te 0.5899 0.9318 0.7957  -0.13
12 Np 0.6670 0.3330 0.0000  3.56

magnetic moment	6.00	Bohr magnetons per cell
total energy	-60.553	eV per cell


Material: KLi2Np3Te6
Method: DFT, GGA-PBE
State: optimized geometry

Unit cell a=4.4568 b=9.0960 c=10.1576 alpha=104.60 beta=102.67 gamma=90.00
Last column: magnetic moment on the atom in μB.
Sites, in units of the cell vectors:
1 Te 0.3343 0.4191 0.6686  -0.08
2 Li 0.8255 0.6562 0.6510  0.00
3 Te 0.3264 0.9203 0.6529  -0.08
4 Np 0.1659 0.8282 0.3318  4.03
5 Te 0.9983 0.2686 0.9966  -0.09
6 Li 0.1745 0.3438 0.3490  0.00
7 Np 0.5000 0.5000 0.0000  3.97
8 Te 0.6657 0.5809 0.3314  -0.08
9 K 0.5000 0.0000 0.0000  0.00
10 Te 0.6736 0.0797 0.3471  -0.08
11 Np 0.8341 0.1718 0.6682  4.03
12 Te 0.0017 0.7314 0.0034  -0.09

magnetic moment	12.00	Bohr magnetons per cell
total energy	-72.039	eV per cell


Material: K3LiO2
Method: DFT, GGA-PBE
State: optimized geometry

Unit cell a=5.9514 b=5.9514 c=7.1930 alpha=90.00 beta=90.00 gamma=96.09
Sites, in units of the cell vectors:
1 O 0.0000 0.0000 0.0000
2 K 0.6966 0.3034 0.0000
3 O 0.6033 0.6033 0.2500
4 K 0.2202 0.2202 0.2500
5 K 0.3034 0.6966 0.5000
6 K 0.6966 0.3034 0.5000
7 K 0.7798 0.7798 0.7500
8 O 0.3967 0.3967 0.7500
9 Li 0.8459 0.8459 0.2500
10 Li 0.1541 0.1541 0.7500
11 K 0.3034 0.6966 0.0000
12 O 0.0000 0.0000 0.5000

magnetic moment	0.08	Bohr magnetons per cell
E above lowest polymorph	0.021	eV/atom
total energy	-43.509	eV per cell


Material: KLi3O
Method: DFT, GGA-PBE
State: optimized geometry

Unit cell a=4.4551 b=4.4551 c=4.4551 alpha=90.00 beta=90.00 gamma=90.00
Sites, in units of the cell vectors:
1 Li 0.0000 0.0000 0.5000
2 Li 0.0000 0.5000 0.0000
3 O 0.0000 0.0000 0.0000
4 Li 0.5000 0.0000 0.0000
5 K 0.5000 0.5000 0.5000

magnetic moment	0.00	Bohr magnetons per cell
E above lowest polymorph	0.000	eV/atom
total energy	-14.596	eV per cell


Material: K3LiO2
Method: DFT, GGA-PBE
State: optimized geometry

Unit cell a=4.7293 b=7.2131 c=9.9298 alpha=50.71 beta=76.22 gamma=70.86
Last column: magnetic moment on the atom in μB.
Sites, in units of the cell vectors:
1 O 0.8704 0.3773 0.8818  0.08
2 K 0.8117 0.7930 0.5836  0.00
3 O 0.4014 0.7847 0.4124  0.00
4 K 0.0562 0.0960 0.7916  0.00
5 K 0.3298 0.3168 0.0236  0.00
6 Li 0.4573 0.4606 0.6248  0.00
7 O 0.5986 0.2153 0.5876  0.00
8 O 0.1296 0.6227 0.1182  0.08
9 K 0.1883 0.2070 0.4164  0.00
10 Li 0.5427 0.5394 0.3752  0.00
11 K 0.6702 0.6832 0.9764  0.00
12 K 0.9438 0.9040 0.2084  0.00

magnetic moment	0.20	Bohr magnetons per cell
E above lowest polymorph	0.000	eV/atom
total energy	-43.759	eV per cell


Material: KLi2O2
Method: DFT, GGA-PBE
State: optimized geometry

Unit cell a=3.4625 b=3.4625 c=5.8327 alpha=72.73 beta=72.73 gamma=90.00
Last column: magnetic moment on the atom in μB.
Sites, in units of the cell vectors:
1 O 0.3373 0.3373 0.3254  0.41
2 O 0.6627 0.6627 0.6746  0.41
3 K 0.0000 0.0000 0.0000  0.00
4 Li 0.7500 0.2500 0.5000  -0.01
5 Li 0.2500 0.7500 0.5000  -0.01

magnetic moment	1.00	Bohr magnetons per cell
E above lowest polymorph	0.000	eV/atom
total energy	-21.769	eV per cell


Material: KLi2O2
Method: DFT, GGA-PBE
State: optimized geometry

Unit cell a=5.7063 b=5.7063 c=6.7249 alpha=115.10 beta=115.10 gamma=90.00
Last column: magnetic moment on the atom in μB.
Sites, in units of the cell vectors:
1 K 0.0215 0.0215 0.0430  0.01
2 O 0.9195 0.2077 0.4155  0.41
3 Li 0.1763 0.3718 0.7437  -0.01
4 Li 0.5674 0.3718 0.7437  -0.01
5 K 0.2715 0.7715 0.5430  0.01
6 Li 0.6218 0.3174 0.2437  -0.01
7 Li 0.6218 0.9263 0.2437  -0.01
8 O 0.4960 0.2077 0.4155  0.41
9 O 0.4577 0.2460 0.9155  0.41
10 O 0.4577 0.6695 0.9155  0.41

magnetic moment	1.96	Bohr magnetons per cell
E above lowest polymorph	0.166	eV/atom
total energy	-41.881	eV per cell


Material: KLi2O
Method: DFT, GGA-PBE
State: optimized geometry

Unit cell a=6.2365 b=6.2365 c=6.2434 alpha=60.04 beta=60.04 gamma=90.00
Sites, in units of the cell vectors:
1 Li 0.3747 0.1250 0.2500
2 K 0.0000 0.0000 0.0000
3 Li 0.3753 0.6250 0.2500
4 O 0.5000 0.5000 0.0000
5 K 0.7500 0.2500 0.5000
6 O 0.2500 0.7500 0.5000
7 Li 0.8750 0.6247 0.7500
8 Li 0.3750 0.6253 0.7500

magnetic moment	0.00	Bohr magnetons per cell
total energy	-28.000	eV per cell


Material: KLi2O3
Method: DFT, GGA-PBE
State: optimized geometry

Unit cell a=5.0548 b=5.8859 c=5.9003 alpha=67.39 beta=90.00 gamma=90.00
Last column: magnetic moment on the atom in μB.
Sites, in units of the cell vectors:
1 O 0.7500 0.4650 0.2913  0.31
2 O 0.2500 0.3096 0.6842  0.29
3 Li 0.9951 0.7984 0.5171  0.00
4 K 0.7500 0.2297 0.9633  0.00
5 Li 0.4951 0.2016 0.4829  0.00
6 K 0.2500 0.7703 0.0367  0.00
7 Li 0.0049 0.2016 0.4829  0.00
8 Li 0.5049 0.7984 0.5171  0.00
9 O 0.2500 0.5350 0.7087  0.31
10 O 0.7500 0.6904 0.3158  0.29
11 O 0.2500 0.0426 0.3441  0.24
12 O 0.7500 0.9574 0.6559  0.24

magnetic moment	2.02	Bohr magnetons per cell
total energy	-54.316	eV per cell


Material: KLi3O2
Method: DFT, GGA-PBE
State: optimized geometry

Unit cell a=3.3534 b=6.2318 c=7.8278 alpha=113.90 beta=90.00 gamma=105.61
Sites, in units of the cell vectors:
1 O 0.8314 0.6628 0.4045
2 Li 0.6185 0.2369 0.6694
3 O 0.1686 0.3372 0.5955
4 Li 0.3815 0.7631 0.3306
5 K 0.8675 0.7349 0.9249
6 K 0.1325 0.2651 0.0751
7 Li 0.9816 0.9631 0.6501
8 Li 0.3270 0.6541 0.5738
9 Li 0.6730 0.3459 0.4262
10 Li 0.0184 0.0369 0.3499
11 O 0.4993 0.9986 0.7711
12 O 0.5007 0.0014 0.2289

magnetic moment	0.00	Bohr magnetons per cell
total energy	-52.388	eV per cell


Material: KLi3O
Method: DFT, GGA-PBE
State: optimized geometry

Unit cell a=5.5158 b=5.5158 c=5.5158 alpha=90.00 beta=90.00 gamma=90.00
Last column: magnetic moment on the atom in μB.
Sites, in units of the cell vectors:
1 Li 0.0000 0.0000 0.5000  0.01
2 O 0.5000 0.5000 0.5000  -0.43
3 K 0.0000 0.0000 0.0000  0.02
4 Li 0.5000 0.0000 0.0000  0.01
5 Li 0.0000 0.5000 0.0000  0.01

magnetic moment	0.02	Bohr magnetons per cell
E above lowest polymorph	1.523	eV/atom
total energy	-6.980	eV per cell


| no. | calculated volume (A^3/atom) |
| --- | --- |
| 1 | 26.03 |
| 2 | 30.84 |
| 3 | 31.21 |
| 4 | 28.39 |
| 5 | 29.52 |
| 6 | 26.93 |
| 7 | 29.19 |
| 8 | 28.99 |
| 9 | 38.05 |
| 10 | 35.83 |
| 11 | 32.34 |
| 12 | 21.11 |
| 13 | 17.69 |
| 14 | 20.62 |
| 15 | 12.69 |
| 16 | 17.52 |
| 17 | 21.49 |
| 18 | 13.50 |
| 19 | 11.91 |
| 20 | 33.56 |